(1)
DFT (PBE) results for a geometry-optimized FeSbPI2 structure.

Cell: 5.133 5.133 4.909 Å, 90.00 90.00 90.00°
Atoms (fractional coordinates):
P 0.500 0.500 0.500
I 0.000 0.500 0.000
Sb 0.000 0.000 0.500
Fe 0.000 0.000 0.000
I 0.500 0.000 0.000

Volume (Å³/atom): 25.87
Offset from the most stable computed form (kJ/mol of atoms): 0.0
Space group: P4/mmm (123)



(2)
DFT (PBE) results for a geometry-optimized FeSbPI2 structure.

Cell: 5.354 5.354 5.444 Å, 90.00 90.00 90.00°
Site moments in Bohr magnetons follow the coordinates.
Atoms (fractional coordinates):
Sb 0.000 0.000 0.500  0.04
Fe 0.500 0.500 0.500  3.44
I 0.500 0.000 0.000  0.05
I 0.000 0.500 0.000  0.05
P 0.000 0.000 0.000  -0.02

Volume (Å³/atom): 31.21
Offset from the most stable computed form (kJ/mol of atoms): 9.5
Space group: P4/mmm (123)



(3)
DFT (PBE) results for a geometry-optimized Fe2SnPI structure.

Cell: 4.411 5.966 4.411 Å, 90.00 90.00 90.00°
Site moments in Bohr magnetons follow the coordinates.
Atoms (fractional coordinates):
I 0.000 0.500 0.000  -0.02
Sn 0.500 0.500 0.500  -0.16
Fe 0.000 0.000 0.500  2.47
Fe 0.500 0.000 0.000  2.75
P 0.000 0.000 0.000  -0.08

Volume (Å³/atom): 23.22
Space group: P4/mmm (123)



(4)
DFT (PBE) results for a geometry-optimized FeTePI2 structure.

Cell: 5.351 5.351 5.493 Å, 90.00 90.00 90.00°
Site moments in Bohr magnetons follow the coordinates.
Atoms (fractional coordinates):
I 0.500 0.000 0.000  0.04
Fe 0.500 0.500 0.500  3.41
I 0.000 0.500 0.000  0.04
P 0.000 0.000 0.000  -0.03
Te 0.000 0.000 0.500  0.02

Volume (Å³/atom): 31.46
Space group: P4/mmm (123)



(5)
DFT (PBE) results for a geometry-optimized FeTePI2 structure.

Cell: 5.186 5.186 4.907 Å, 90.00 90.00 90.00°
Atoms (fractional coordinates):
I 0.000 0.500 0.000
Te 0.000 0.000 0.500
P 0.500 0.500 0.500
I 0.500 0.000 0.000
Fe 0.000 0.000 0.000

Volume (Å³/atom): 26.39
Space group: P4/mmm (123)



(6)
DFT (PBE) results for a geometry-optimized FeTeP2I structure.

Cell: 5.268 4.917 5.268 Å, 90.00 90.00 90.00°
Site moments in Bohr magnetons follow the coordinates.
Atoms (fractional coordinates):
P 0.500 0.000 0.000  0.08
I 0.500 0.500 0.500  0.05
P 0.000 0.000 0.500  0.08
Te 0.000 0.000 0.000  -0.01
Fe 0.000 0.500 0.000  2.91

Volume (Å³/atom): 27.30
Space group: P4/mmm (123)



| no. | formation energy without anion corrections (meV per atom) | raw total energy (Ha/atom) |
| --- | --- | --- |
| 1 | 878 | -0.1228 |
| 2 | 977 | -0.1192 |
| 3 | 683 | -0.1799 |
| 4 | 863 | -0.1161 |
| 5 | 864 | -0.1161 |
| 6 | 1231 | -0.1310 |